First-principles (PBE) data for Tb2NdPt after structural relaxation, as listed in the Alexandria database.

- total magnetization (μB per atom) = 0.00
- ΔE_f (eV per atom) = -0.508
- SG = R-3m (166)
- total DFT energy (no corrections) (eV per formula unit) = -22.10
- volume (Å³ per cell) = 123
- energy relative to the lowest polymorph listed for this composition (meV per atom) = 170

a b c (Å): 3.8651 3.8651 9.7930
angles (deg): 78.62 78.62 60.00
Closest atoms and distances in Å follow each position.
Fractional coordinates of all 4 atoms:
Pt (0.0000, 0.0000, 0.0000)  6 Tb 2.82
Tb (0.7270, 0.7270, 0.8189)  3 Pt 2.82
Tb (0.2730, 0.2730, 0.1811)  3 Pt 2.82
Nd (0.5000, 0.5000, 0.5000)  6 Tb 3.77, 6 Nd 3.87

---

First-principles (PBE) data for TbNdPt after structural relaxation, as listed in the Alexandria database.

- total magnetization (μB per atom) = 0.00
- ΔE_f (eV per atom) = -0.790
- SG = Cmcm (63)
- total DFT energy (no corrections) (eV per formula unit) = -17.81
- volume (Å³ per cell) = 166
- energy relative to the lowest polymorph listed for this composition (meV per atom) = 77

a b c (Å): 6.9203 6.4245 6.4245
angles (deg): 144.42 90.00 90.00
Closest atoms and distances in Å follow each position.
Fractional coordinates of all 6 atoms:
Pt (0.2500, 0.3781, 0.6219)  2 Tb 2.80, 4 Nd 3.01
Pt (0.7500, 0.6219, 0.3781)  2 Tb 2.80, 4 Nd 3.01
Tb (0.7500, 0.2852, 0.7148)  2 Pt 2.80
Tb (0.2500, 0.7148, 0.2852)  2 Pt 2.80
Nd (0.0000, 0.0000, 0.0000)  4 Pt 3.01
Nd (0.5000, 0.0000, 0.0000)  4 Pt 3.01

---

First-principles (PBE) data for TbNdPt2 after structural relaxation, as listed in the Alexandria database.

- total magnetization (μB per atom) = 0.00
- ΔE_f (eV per atom) = -1.052
- SG = R3m (160)
- total DFT energy (no corrections) (eV per formula unit) = -25.69
- volume (Å³ per cell) = 102
- energy relative to the lowest polymorph listed for this composition (meV per atom) = 150

a b c (Å): 4.1043 4.1043 7.3686
angles (deg): 73.83 73.83 60.00
Closest atoms and distances in Å follow each position.
Fractional coordinates of all 4 atoms:
Pt (0.2448, 0.2448, 0.2656)  3 Tb 2.91, 3 Nd 3.05
Pt (0.0880, 0.0880, 0.7360)  3 Tb 2.85, 3 Nd 2.96
Nd (0.6699, 0.6699, 0.9903)  6 Pt 2.96-3.05
Tb (0.4973, 0.4973, 0.5082)  6 Pt 2.85-2.91

---

First-principles (PBE) data for Tb2NdPt after structural relaxation, as listed in the Alexandria database.

- total magnetization (μB per atom) = 0.00
- ΔE_f (eV per atom) = -0.649
- SG = P2_1/m (11)
- total DFT energy (no corrections) (eV per formula unit) = -22.67
- volume (Å³ per cell) = 225
- energy relative to the lowest polymorph listed for this composition (meV per atom) = 29

a b c (Å): 3.8499 6.5192 9.3902
angles (deg): 90.00 90.00 107.21
Closest atoms and distances in Å follow each position.
Fractional coordinates of all 8 atoms:
Pt (0.7365, 0.4723, 0.2500)  4 Tb 2.88, 2 Nd 3.13
Pt (0.2635, 0.5277, 0.7500)  4 Tb 2.88, 2 Nd 3.13
Nd (0.4339, 0.8687, 0.2500)  2 Pt 3.13
Nd (0.5661, 0.1313, 0.7500)  2 Pt 3.13
Tb (0.1388, 0.2770, 0.0627)  2 Pt 2.88
Tb (0.1388, 0.2770, 0.4373)  2 Pt 2.88
Tb (0.8612, 0.7230, 0.5627)  2 Pt 2.88
Tb (0.8612, 0.7230, 0.9373)  2 Pt 2.88

---

First-principles (PBE) data for Tb3NdPt after structural relaxation, as listed in the Alexandria database.

- total magnetization (μB per atom) = 0.00
- ΔE_f (eV per atom) = -0.357
- SG = Pm-3m (221)
- total DFT energy (no corrections) (eV per formula unit) = -26.48
- volume (Å³ per cell) = 168
- energy relative to the lowest polymorph listed for this composition (meV per atom) = 99

a b c (Å): 5.5172 5.5172 5.5172
angles (deg): 90.00 90.00 90.00
Closest atoms and distances in Å follow each position.
Fractional coordinates of all 5 atoms:
Tb (0.0000, 0.5000, 0.0000)  2 Pt 2.76
Tb (0.0000, 0.0000, 0.5000)  2 Pt 2.76
Tb (0.5000, 0.0000, 0.0000)  2 Pt 2.76
Nd (0.5000, 0.5000, 0.5000)  12 Tb 3.90
Pt (0.0000, 0.0000, 0.0000)  6 Tb 2.76

---

First-principles (PBE) data for TbNdPt2 after structural relaxation, as listed in the Alexandria database.

- total magnetization (μB per atom) = 0.00
- ΔE_f (eV per atom) = -1.089
- SG = R-3m (166)
- total DFT energy (no corrections) (eV per formula unit) = -25.84
- volume (Å³ per cell) = 100
- energy relative to the lowest polymorph listed for this composition (meV per atom) = 113

a b c (Å): 4.1393 4.1393 7.1791
angles (deg): 73.24 73.24 60.00
Closest atoms and distances in Å follow each position.
Fractional coordinates of all 4 atoms:
Pt (0.7465, 0.7465, 0.7606)  3 Tb 2.89, 3 Nd 2.97
Pt (0.2535, 0.2535, 0.2394)  3 Tb 2.89, 3 Nd 2.97
Tb (0.0000, 0.0000, 0.0000)  6 Pt 2.89
Nd (0.5000, 0.5000, 0.5000)  6 Pt 2.97